YErIr (GGA-PBE, optimized geometry); offset from the most stable computed form = 0.000 eV per atom
1.0
3.387 -3.387 0.000
3.387 3.387 0.000
-0.019 0.000 6.770
Y Er Ir
2 2 2
Cartesian
3.382 -3.386 1.692
3.373 3.386 5.077
3.382 0.000 1.692
3.373 0.000 5.077
1.693 1.694 0.000
1.684 -1.694 3.385



Computed, not measured: an optimized crystal structure of Y3Er2Ir2 at the GGA-PBE level of DFT.

Geometry as POSCAR:
```
Y3Er2Ir2
1.0
6.018 -1.919 0.000
6.018 1.919 0.000
-3.785 0.000 7.926
Y Er Ir
3 2 2
Cartesian
0.000 0.000 0.000
-0.210 0.000 3.416
8.461 0.000 4.510
3.269 0.000 1.507
4.983 0.000 6.419
0.953 0.000 6.080
7.298 0.000 1.846
```



Computed, not measured: an optimized crystal structure of YEr5Ir6 at the GGA-PBE level of DFT.

Geometry as POSCAR:
```
YEr5Ir6
1.0
2.348 -7.054 0.000
2.348 7.054 0.000
0.000 0.000 7.122
Y Er Ir
1 5 6
Cartesian
0.000 0.000 0.000
0.000 0.000 3.561
2.348 2.355 0.000
2.348 2.352 3.561
2.348 -2.355 0.000
2.348 -2.352 3.561
2.348 4.691 1.789
2.348 4.691 5.333
2.348 0.000 1.798
2.348 0.000 5.324
2.348 -4.691 1.789
2.348 -4.691 5.333
```



Computed, not measured: an optimized crystal structure of Y5ErIr6 at the GGA-PBE level of DFT.

Geometry as POSCAR:
```
Y5ErIr6
1.0
4.734 0.000 0.000
0.000 7.169 0.000
-2.360 0.000 7.111
Y Er Ir
5 1 6
Cartesian
0.000 0.000 0.000
0.005 0.000 4.741
0.005 3.585 4.744
2.370 3.585 2.367
2.370 0.000 2.370
0.000 3.585 0.000
0.002 1.801 2.358
0.002 5.368 2.358
2.367 1.811 0.000
2.367 5.359 0.000
2.372 1.801 4.753
2.372 5.368 4.753
```



YErIr (GGA-PBE, optimized geometry); offset from the most stable computed form = 0.121 eV per atom
1.0
-1.727 1.727 6.339
1.727 -1.727 6.339
1.727 1.727 -6.339
Y Er Ir
1 1 1
Cartesian
0.000 0.000 0.000
0.000 0.000 9.422
0.000 0.000 4.669



Computed, not measured: an optimized crystal structure of YErIr4 at the GGA-PBE level of DFT.

Geometry as POSCAR:
```
YErIr4
1.0
0.000 3.785 3.785
3.785 0.000 3.785
3.785 3.785 0.000
Y Er Ir
1 1 4
Cartesian
0.000 0.000 0.000
5.677 5.677 5.677
2.839 2.839 2.839
4.731 4.731 2.839
4.731 2.839 4.731
2.839 4.731 4.731
```



YErIr (GGA-PBE, optimized geometry); offset from the most stable computed form = 0.165 eV per atom
1.0
4.092 0.000 0.000
-2.046 3.544 0.000
0.000 0.000 6.092
Y Er Ir
1 1 1
Cartesian
0.000 0.000 0.000
2.046 1.181 2.820
0.000 2.363 1.443



YErIr (GGA-PBE, optimized geometry); offset from the most stable computed form = 0.006 eV per atom
1.0
0.000 3.388 3.388
3.388 0.000 3.388
3.388 3.388 0.000
Y Er Ir
1 1 1
Cartesian
0.000 0.000 0.000
3.388 3.388 3.388
5.081 5.081 5.081



| no. | formation energy from the elements (kcal/mol of atoms) | calculated density (Mg/m³) |
| --- | --- | --- |
| 1 | -16.3 | 9.59 |
| 2 | -14.3 | 8.94 |
| 3 | -20.0 | 14.63 |
| 4 | -18.4 | 12.14 |
| 5 | -13.5 | 9.84 |
| 6 | -18.7 | 15.70 |
| 7 | -12.5 | 8.43 |
| 8 | -16.2 | 9.58 |